{
  "formula": "CaFeNO2",
  "functional": "PBE with a Hubbard U",
  "state": "relaxed",
  "sg": "P4/mmm, No. 123",
  "crystal_system": "tetragonal",
  "dft_energy_ev_per_atom": -6.1714,
  "volume_a3_per_cell": 57.70,
  "lattice": [[3.9033, 0.0000, 0.0000], [0.0000, 3.9033, 0.0000], [0.0000, 0.0000, 3.7875]],
  "species": ["Ca", "Fe", "N", "O", "O"],
  "frac_coords": [[0.0000, 0.0000, 0.0000], [0.5000, 0.5000, 0.5000], [0.5000, 0.5000, 0.0000], [0.0000, 0.5000, 0.5000], [0.5000, 0.0000, 0.5000]]
}